No. 1
Material: Rb4Sn3PbCl12
Method: DFT, PBE
State: optimized geometry

Calculated values
The symmetry is No. 229. As for the crystal system: cubic.

The structure in POSCAR format:
```
Rb4Sn3PbCl12
1.0
-1.083 6.639 7.044
6.444 -6.727 2.842
3.210 4.354 -8.099
Rb Cl Sn Pb
4 12 3 1
Direct
0.000 0.500 0.000 Rb
0.500 0.000 0.000 Rb
0.000 0.000 0.500 Rb
0.500 0.500 0.500 Rb
0.750 0.500 0.250 Cl
0.253 0.253 0.000 Cl
0.500 0.750 0.250 Cl
0.747 0.000 0.747 Cl
0.500 0.250 0.750 Cl
0.250 0.500 0.750 Cl
0.000 0.747 0.747 Cl
0.250 0.750 0.500 Cl
0.000 0.253 0.253 Cl
0.253 0.000 0.253 Cl
0.747 0.747 0.000 Cl
0.750 0.250 0.500 Cl
0.500 0.500 0.000 Sn
0.500 0.000 0.500 Sn
0.000 0.500 0.500 Sn
0.000 0.000 0.000 Pb
```

=====

No. 2
Material: RbSrPbCl6
Method: DFT, PBE
State: optimized geometry

Calculated values
The density of states at the Fermi level comes out at 12.7 states/eV per cell. The symmetry is No. 163. As for the crystal system: trigonal.

The structure in POSCAR format:
```
RbSrPbCl6
1.0
7.438 0.000 0.000
-3.719 6.442 0.000
0.000 0.000 14.120
Cl Rb Sr Pb
12 2 2 2
Direct
0.983 0.362 0.138 Cl
0.983 0.621 0.362 Cl
0.379 0.362 0.362 Cl
0.017 0.638 0.862 Cl
0.638 0.621 0.138 Cl
0.638 0.017 0.362 Cl
0.621 0.638 0.638 Cl
0.017 0.379 0.638 Cl
0.621 0.983 0.862 Cl
0.362 0.983 0.638 Cl
0.362 0.379 0.862 Cl
0.379 0.017 0.138 Cl
0.000 0.000 0.500 Rb
0.000 0.000 0.000 Rb
0.667 0.333 0.750 Sr
0.333 0.667 0.250 Sr
0.333 0.667 0.750 Pb
0.667 0.333 0.250 Pb
```

=====

No. 3
Material: Rb2TaPbCl6
Method: DFT, PBE
State: optimized geometry

Calculated values
The density of states at the Fermi level comes out at 0.8 states/eV per cell. The symmetry is No. 225. As for the crystal system: cubic.

The structure in POSCAR format:
```
Rb2TaPbCl6
1.0
-5.974 2.681 -3.978
-4.794 -3.136 5.087
-5.277 4.339 3.471
Cl Rb Pb Ta
6 2 1 1
Direct
0.267 0.267 0.000 Cl
0.267 0.733 0.000 Cl
0.733 0.267 0.000 Cl
0.267 0.267 0.466 Cl
0.733 0.733 0.000 Cl
0.733 0.733 0.534 Cl
0.750 0.250 0.500 Rb
0.250 0.750 0.500 Rb
0.000 0.000 0.000 Pb
0.500 0.500 0.000 Ta
```

=====

No. 4
Material: RbTbPbCl6
Method: DFT, PBE
State: optimized geometry

Calculated values
The density of states at the Fermi level comes out at 0.0 states/eV per cell. The symmetry is No. 163. As for the crystal system: trigonal.

The structure in POSCAR format:
```
RbTbPbCl6
1.0
-0.767 5.212 5.163
-3.614 -6.397 0.652
10.856 -5.411 7.077
Tb Cl Pb Rb
2 12 2 2
Direct
0.667 0.333 0.250 Tb
0.333 0.667 0.750 Tb
0.025 0.383 0.641 Cl
0.642 0.025 0.359 Cl
0.383 0.358 0.359 Cl
0.617 0.975 0.859 Cl
0.975 0.358 0.141 Cl
0.383 0.025 0.141 Cl
0.617 0.642 0.641 Cl
0.975 0.617 0.359 Cl
0.025 0.642 0.859 Cl
0.358 0.383 0.859 Cl
0.358 0.975 0.641 Cl
0.642 0.617 0.141 Cl
0.333 0.667 0.250 Pb
0.667 0.333 0.750 Pb
0.000 0.000 0.500 Rb
0.000 0.000 0.000 Rb
```

=====

No. 5
Material: Rb2TcPbCl6
Method: DFT, PBE
State: optimized geometry

Calculated values
The density of states at the Fermi level comes out at 11.4 states/eV per cell. The symmetry is No. 225. As for the crystal system: cubic.

The structure in POSCAR format:
```
Rb2TcPbCl6
1.0
7.488 0.000 0.000
0.000 7.488 0.000
3.744 3.744 5.294
Rb Tc Cl Pb
2 1 6 1
Direct
0.250 0.750 0.500 Rb
0.750 0.250 0.500 Rb
0.500 0.500 0.000 Tc
0.731 0.731 0.000 Cl
0.269 0.269 0.000 Cl
0.269 0.731 0.000 Cl
0.731 0.269 0.000 Cl
0.731 0.731 0.537 Cl
0.269 0.269 0.463 Cl
0.000 0.000 0.000 Pb
```

=====

No. 6
Material: Rb2TePbCl6
Method: DFT, PBE
State: optimized geometry

Calculated values
The density of states at the Fermi level comes out at 0.0 states/eV per cell. The symmetry is No. 139. As for the crystal system: tetragonal.

The structure in POSCAR format:
```
Rb2TePbCl6
1.0
-0.217 6.091 4.673
-7.470 -1.247 1.279
-2.316 -1.461 8.108
Rb Cl Te Pb
2 6 1 1
Direct
0.250 0.750 0.500 Rb
0.750 0.250 0.500 Rb
0.213 0.213 0.574 Cl
0.261 0.261 0.000 Cl
0.739 0.739 0.000 Cl
0.261 0.739 0.000 Cl
0.739 0.261 0.000 Cl
0.787 0.787 0.426 Cl
0.500 0.500 0.000 Te
0.000 0.000 0.000 Pb
```

=====

No. 7
Material: Rb3TlPb2Cl9
Method: DFT, PBE
State: optimized geometry

Calculated values
The density of states at the Fermi level comes out at 3.0 states/eV per cell. The symmetry is No. 164. As for the crystal system: trigonal.

The structure in POSCAR format:
```
Rb3TlPb2Cl9
1.0
-1.753 7.188 2.947
3.183 -5.570 4.719
9.133 3.204 -2.380
Cl Rb Tl Pb
9 3 1 2
Direct
0.162 0.323 0.320 Cl
0.677 0.838 0.320 Cl
0.500 0.500 0.000 Cl
0.500 0.000 0.000 Cl
0.162 0.838 0.320 Cl
0.323 0.162 0.680 Cl
0.000 0.500 0.000 Cl
0.838 0.162 0.680 Cl
0.838 0.677 0.680 Cl
0.333 0.667 0.723 Rb
0.667 0.333 0.277 Rb
0.000 0.000 0.000 Rb
0.000 0.000 0.500 Tl
0.667 0.333 0.823 Pb
0.333 0.667 0.177 Pb
```

=====

No. 8
Material: RbTlPb2Cl8
Method: DFT, PBE
State: optimized geometry

Calculated values
The symmetry is No. 2. As for the crystal system: triclinic.

The structure in POSCAR format:
```
RbTlPb2Cl8
1.0
-5.053 -1.896 4.173
4.255 -3.032 3.994
1.029 7.577 4.683
Cl Rb Tl Pb
8 1 1 2
Direct
0.152 0.762 0.208 Cl
0.621 0.726 0.500 Cl
0.321 0.238 0.001 Cl
0.379 0.274 0.500 Cl
0.848 0.238 0.792 Cl
0.679 0.762 0.999 Cl
0.847 0.237 0.207 Cl
0.153 0.763 0.793 Cl
0.000 0.000 0.500 Rb
0.000 0.000 0.000 Tl
0.500 0.500 0.753 Pb
0.500 0.500 0.247 Pb
```

=====

No. 9
Material: RbTl2PbCl6
Method: DFT, PBE
State: optimized geometry

Calculated values
The density of states at the Fermi level comes out at 13.5 states/eV per cell. The symmetry is No. 14. As for the crystal system: monoclinic.

The structure in POSCAR format:
```
RbTl2PbCl6
1.0
-0.231 -3.864 6.480
2.193 -7.053 -4.128
10.663 1.999 2.249
Rb Cl Tl Pb
2 12 4 2
Direct
0.500 0.000 0.000 Rb
0.000 0.500 0.500 Rb
0.654 0.264 0.596 Cl
0.811 0.839 0.531 Cl
0.367 0.911 0.726 Cl
0.689 0.339 0.969 Cl
0.154 0.236 0.096 Cl
0.346 0.736 0.404 Cl
0.311 0.661 0.031 Cl
0.867 0.589 0.226 Cl
0.633 0.089 0.274 Cl
0.133 0.411 0.774 Cl
0.846 0.764 0.904 Cl
0.189 0.161 0.469 Cl
0.020 0.943 0.273 Tl
0.520 0.557 0.773 Tl
0.480 0.443 0.227 Tl
0.980 0.057 0.727 Tl
0.000 0.500 0.000 Pb
0.500 0.000 0.500 Pb
```

=====

No. 10
Material: RbTl2PbCl4
Method: DFT, PBE
State: optimized geometry

Calculated values
The density of states at the Fermi level comes out at 2.8 states/eV per cell. The symmetry is No. 22. As for the crystal system: orthorhombic.

The structure in POSCAR format:
```
RbTl2PbCl4
1.0
6.520 0.007 0.000
0.001 6.520 0.000
-3.260 -3.264 6.459
Cl Pb Rb Tl
4 1 1 2
Direct
0.751 0.751 0.502 Cl
0.983 0.483 0.966 Cl
0.249 0.249 0.498 Cl
0.517 0.017 0.034 Cl
0.750 0.250 0.500 Pb
0.500 0.500 0.000 Rb
0.000 0.000 0.000 Tl
0.250 0.750 0.500 Tl
```

=====

No. 11
Material: Rb2TlPbCl8
Method: DFT, PBE
State: optimized geometry

Calculated values
The density of states at the Fermi level comes out at 5.0 states/eV per cell. The symmetry is No. 2. As for the crystal system: triclinic.

The structure in POSCAR format:
```
Rb2TlPbCl8
1.0
-5.861 -1.856 -3.619
-3.146 -0.545 6.207
-2.320 8.236 -0.432
Cl Rb Tl Pb
8 2 1 1
Direct
0.311 0.182 0.001 Cl
0.116 0.776 0.246 Cl
0.689 0.818 0.999 Cl
0.884 0.224 0.754 Cl
0.670 0.800 0.500 Cl
0.883 0.223 0.245 Cl
0.330 0.200 0.500 Cl
0.117 0.777 0.755 Cl
0.500 0.501 0.246 Rb
0.500 0.499 0.754 Rb
0.000 0.000 0.000 Tl
0.000 0.000 0.500 Pb
```

=====

No. 12
Material: RbTmPb2Cl8
Method: DFT, PBE
State: optimized geometry

Calculated values
The density of states at the Fermi level comes out at 0.0 states/eV per cell. The symmetry is No. 10. As for the crystal system: monoclinic.

The structure in POSCAR format:
```
RbTmPb2Cl8
1.0
-5.921 -2.728 -2.062
-1.097 -2.466 5.980
-4.290 7.551 2.330
Cl Rb Pb Tm
8 1 2 1
Direct
0.841 0.230 0.207 Cl
0.842 0.230 0.793 Cl
0.308 0.241 0.000 Cl
0.623 0.725 0.500 Cl
0.377 0.275 0.500 Cl
0.158 0.770 0.207 Cl
0.692 0.759 0.000 Cl
0.159 0.770 0.793 Cl
0.000 0.000 0.500 Rb
0.500 0.500 0.752 Pb
0.500 0.500 0.248 Pb
0.000 0.000 0.000 Tm
```

=====

| no. | E_form (uncorrected) (meV/atom) |
| --- | --- |
| 1 | -1410 |
| 2 | -1620 |
| 3 | -1226 |
| 4 | -1880 |
| 5 | -1137 |
| 6 | -1175 |
| 7 | -1378 |
| 8 | -1109 |
| 9 | -1131 |
| 10 | -1063 |
| 11 | -1122 |
| 12 | -1659 |